Density functional theory data (PBE) for a relaxed structure of LaRe2Ru.

Cell: 2.851 2.851 30.071 Å, 90.00 90.00 120.00°
Fractional coordinates of all 12 atoms:
La1 0.000 0.000 0.000
La2 0.333 0.667 0.667
La3 0.667 0.333 0.333
Re1 0.000 0.000 0.237
Re2 0.000 0.000 0.763
Re3 0.333 0.667 0.430
Re4 0.333 0.667 0.904
Re5 0.667 0.333 0.096
Re6 0.667 0.333 0.570
Ru1 0.000 0.000 0.500
Ru2 0.333 0.667 0.167
Ru3 0.667 0.333 0.833

space group	R-3m (166)
E_form	0.59	eV per atom
energy relative to the lowest polymorph listed for this composition	329	meV/atom
VASP energy	-9.18	eV per atom
DOS(E_F)	11.3	states/eV/cell